A geometry-optimized ThBeAl2Au4 structure, computed with PBE-GGA.

Results
**Total magnetic moment**: 0.0 μB per formula unit
**Volume**: 147.8 Å³/f.u.
**SG**: No. 166
**E_form**: -0.4552 eV per atom

abc: 9.181 9.181 9.181
angles: 27.72 27.72 27.72
Sites, in units of the cell vectors:
Th 0.000 0.000 0.000
Be 0.500 0.500 0.500
Al 0.241 0.241 0.241
Al 0.759 0.759 0.759
Au 0.137 0.137 0.137
Au 0.402 0.402 0.402
Au 0.598 0.598 0.598
Au 0.863 0.863 0.863